#one
{"formula": "Y2BiH", "functional": "PBE", "state": "optimized geometry", "lattice_angstrom": [[0.000, 3.651, 3.651], [3.651, 0.000, 3.651], [3.651, 3.651, 0.000]], "species": ["Y", "Y", "Bi", "H"], "frac_coords": [[0.250, 0.250, 0.250], [0.750, 0.750, 0.750], [0.000, 0.000, 0.000], [0.500, 0.500, 0.500]], "n_ef_per_ev_cell": 2.7}

---

#two
{"formula": "Y2BiH", "functional": "PBE", "state": "optimized geometry", "lattice_angstrom": [[7.844, 0.000, 0.000], [0.000, 6.496, 0.000], [-1.297, 0.000, 7.482]], "species": ["Y", "Y", "Y", "Y", "Y", "Y", "Y", "Y", "Bi", "Bi", "Bi", "Bi", "H", "H", "H", "H"], "frac_coords": [[0.055, 0.139, 0.325], [0.055, 0.361, 0.825], [0.320, 0.668, 0.518], [0.320, 0.832, 0.018], [0.680, 0.168, 0.982], [0.680, 0.332, 0.482], [0.945, 0.639, 0.175], [0.945, 0.861, 0.675], [0.347, 0.125, 0.673], [0.347, 0.375, 0.173], [0.653, 0.625, 0.827], [0.653, 0.875, 0.327], [0.067, 0.684, 0.923], [0.067, 0.816, 0.423], [0.933, 0.184, 0.577], [0.933, 0.316, 0.077]], "n_ef_per_ev_cell": 9.3}

---

#three
{"formula": "Y2BiH", "functional": "PBE", "state": "optimized geometry", "lattice_angstrom": [[2.074, 1.197, 6.480], [-2.074, 1.197, 6.480], [0.000, -2.394, 6.480]], "species": ["Y", "Y", "Bi", "H"], "frac_coords": [[0.234, 0.234, 0.234], [0.766, 0.766, 0.766], [0.000, 0.000, 0.000], [0.500, 0.500, 0.500]], "n_ef_per_ev_cell": 1.3}

---

Stability, highest: #two